DFT (GGA+U) results for a relaxed VPO3 crystal.

abc: 3.6553 3.6553 3.6553
angles: 90.00 90.00 90.00
With the nearest neighbours (Å) after each atom.
Fractional coordinates of all 5 atoms:
O1 0.5000 0.0000 0.0000  2 P 1.83
O2 0.0000 0.5000 0.0000  2 P 1.83
O3 0.0000 0.0000 0.5000  2 P 1.83
V1 0.5000 0.5000 0.5000  12 O 2.58
P1 0.0000 0.0000 0.0000  6 O 1.83

Symmetry: Pm-3m, No. 221
DOS at the Fermi energy in states/eV/cell: 3.341
Magnetization in μB per atom: 0.635
Electronic total energy in eV per atom: -6.37
Mass density in g/cm3: 4.42